DFT (PBE) results for a geometry-optimized PrSmCdGa structure.

Cell lengths 5.3385, 5.3385, 5.3385 Å; angles 60.00, 60.00, 60.00 degrees
Sites, in units of the cell vectors:
Pr 0.5000 0.5000 0.5000
Ga 0.2500 0.2500 0.2500
Sm 0.0000 0.0000 0.0000
Cd 0.7500 0.7500 0.7500

- Raw total energy: -15.149 eV for the cell shown
- Relative energy among the computed polymorphs: 0.015 eV per atom
- Fermi-level density of states: 1.1956 states/eV per atom
- Energy of formation from the pure elements: -9.8 kcal/mol of atoms

DFT (PBE) results for a geometry-optimized PrCdGaSn structure.

Cell lengths 4.4707, 4.6526, 4.7429 Å; angles 90.00, 90.00, 90.00 degrees
Sites, in units of the cell vectors:
Pr 0.5000 0.5000 0.0000
Cd 0.5000 0.0000 0.5000
Ga 0.0000 0.0000 0.0000
Sn 0.0000 0.5000 0.5000

- Raw total energy: -14.607 eV for the cell shown
- Fermi-level density of states: 0.6074 states/eV per atom
- Energy of formation from the pure elements: -10.9 kcal/mol of atoms

DFT (PBE) results for a geometry-optimized TbPrCdGa structure.

Cell lengths 3.6638, 3.6638, 7.7738 Å; angles 90.00, 90.00, 90.00 degrees
Sites, in units of the cell vectors:
Tb 0.5000 0.5000 0.5908
Pr 0.5000 0.5000 0.1247
Cd 0.0000 0.0000 0.8416
Ga 0.0000 0.0000 0.3709

- Raw total energy: -15.142 eV for the cell shown
- Relative energy among the computed polymorphs: 0.000 eV per atom
- Fermi-level density of states: 0.6799 states/eV per atom
- Energy of formation from the pure elements: -10.3 kcal/mol of atoms

DFT (PBE) results for a geometry-optimized TbPrCdGa structure.

Cell lengths 5.2974, 5.2974, 5.2974 Å; angles 60.00, 60.00, 60.00 degrees
Sites, in units of the cell vectors:
Pr 0.2500 0.2500 0.2500
Tb 0.7500 0.7500 0.7500
Ga 0.5000 0.5000 0.5000
Cd 0.0000 0.0000 0.0000

- Raw total energy: -15.063 eV for the cell shown
- Relative energy among the computed polymorphs: 0.020 eV per atom
- Fermi-level density of states: 1.0346 states/eV per atom
- Energy of formation from the pure elements: -9.9 kcal/mol of atoms

DFT (PBE) results for a geometry-optimized PrThCdGa structure.

Cell lengths 5.3540, 5.3540, 5.3540 Å; angles 60.00, 60.00, 60.00 degrees
Sites, in units of the cell vectors:
Pr 0.7500 0.7500 0.7500
Ga 0.5000 0.5000 0.5000
Th 0.2500 0.2500 0.2500
Cd 0.0000 0.0000 0.0000

- Raw total energy: -17.361 eV for the cell shown
- Fermi-level density of states: 0.8103 states/eV per atom
- Energy of formation from the pure elements: -7.0 kcal/mol of atoms

DFT (PBE) results for a geometry-optimized Pr4TlCd2Ga structure.

Cell lengths 5.4568, 5.4568, 9.4597 Å; angles 73.24, 73.24, 60.00 degrees
Sites, in units of the cell vectors:
Pr 0.3796 0.3796 0.8611
Pr 0.8704 0.8704 0.3889
Pr 0.1296 0.1296 0.6111
Pr 0.6204 0.6204 0.1389
Tl 0.0000 0.0000 0.0000
Cd 0.7474 0.7474 0.7578
Cd 0.2526 0.2526 0.2422
Ga 0.5000 0.5000 0.5000

- Raw total energy: -29.510 eV for the cell shown
- Fermi-level density of states: 1.3145 states/eV per atom
- Energy of formation from the pure elements: -9.1 kcal/mol of atoms